# 1
Density functional theory data (PBE) for crystalline PrHfO3 at its relaxed geometry.

Output
Crystal system: orthorhombic
Theoretical density in g/cm3: 9.167
Electronic total energy in Ry per atom: -0.66603

abc: 5.5889 8.5138 5.5948
angles: 90.00 90.00 90.00
Closest atoms and distances in Å follow each position.
Space group Pnma (No. 62)
Symmetry-distinct sites (fractional):
Pr 0.0017 0.2500 0.0035 x4  7 O 2.51-2.81
Hf 0.0000 0.0000 0.5000 x4  6 O 2.07-2.13
O 0.0019 0.7500 0.5065 x4  2 Hf 2.13
O 0.1711 0.5028 0.1713 x8  2 Hf 2.07

---

# 2
Density functional theory data (PBE) for crystalline NpTlIr at its relaxed geometry.

Output
Crystal system: cubic
Theoretical density in g/cm3: 14.185
Electronic total energy in Ry per atom: -0.53675

abc: 6.6696 6.6696 6.6696
angles: 90.00 90.00 90.00
Closest atoms and distances in Å follow each position.
Space group F-43m (No. 216)
Symmetry-distinct sites (fractional):
Np 0.0000 0.0000 0.0000 x4  4 Tl 2.89, 4 Ir 2.89
Tl 0.2500 0.2500 0.2500 x4  4 Np 2.89
Ir 0.2500 0.2500 0.7500 x4  4 Np 2.89

---

# 3
Density functional theory data (PBE) for crystalline Er5Tm2Ni2Te2 at its relaxed geometry.

Output
Crystal system: orthorhombic
Theoretical density in g/cm3: 9.185
Energy above the most stable polymorph in this dataset in meV per atom: 3.8

abc: 3.8218 15.4547 9.4684
angles: 90.00 90.00 90.00
Closest atoms and distances in Å follow each position.
Space group Imm2 (No. 44)
Symmetry-distinct sites (fractional):
Er 0.0000 0.0000 0.0000 x2  3 Te 3.15-3.19
Er 0.0000 0.1332 0.4170 x4  2 Ni 2.77
Er 0.0000 0.3146 0.6208 x4  2 Ni 2.76
Tm 0.0000 0.3535 0.2697 x4  2 Ni 2.81, 2 Te 3.13
Ni 0.0000 0.2375 0.9280 x4  4 Er 2.76-2.77, 2 Tm 2.81
Te 0.0000 0.0000 0.6627 x2  3 Er 3.11-3.19, 4 Tm 3.13
Te 0.0000 0.5000 0.7649 x2  8 Er 3.15-3.17

---

# 4
Density functional theory data (PBE) for crystalline Ag9Ge2 at its relaxed geometry.

Output
Crystal system: trigonal
Theoretical density in g/cm3: 6.861
Electronic total energy in Ry per atom: -0.22549

abc: 2.9364 2.9364 36.1764
angles: 90.00 90.00 120.00
Closest atoms and distances in Å follow each position.
Space group P-3m1 (No. 164)
Symmetry-distinct sites (fractional):
Ag 0.0000 0.0000 0.0000 x1  12 Ag 2.93-2.94
Ag 0.0000 0.0000 0.1997 x2  12 Ag 2.94-2.96
Ag 0.3333 0.6667 0.1327 x2  12 Ag 2.94-2.96
Ag 0.3333 0.6667 0.7334 x2  3 Ge 2.91, 9 Ag 2.94-2.95
Ag 0.3333 0.6667 0.9339 x2  12 Ag 2.93-2.95
Ge 0.3333 0.6667 0.3318 x2  3 Ag 2.91, 6 Ge 2.94

---

# 5
Density functional theory data (PBE) for crystalline Na2NiIrCl6 at its relaxed geometry.

Output
Crystal system: cubic
Theoretical density in g/cm3: 3.895
Electronic total energy in Ry per atom: -0.26467

abc: 9.5425 9.5425 9.5425
angles: 90.00 90.00 90.00
Closest atoms and distances in Å follow each position.
Space group Fm-3m (No. 225)
Symmetry-distinct sites (fractional):
Na 0.2500 0.2500 0.2500 x8  12 Cl 3.37
Ni 0.0000 0.0000 0.0000 x4  6 Cl 2.39
Ir 0.0000 0.0000 0.5000 x4  6 Cl 2.38
Cl 0.0000 0.0000 0.2508 x24  1 Ir 2.38, 1 Ni 2.39

---

# 6
Density functional theory data (PBE) for crystalline HfZrSb at its relaxed geometry.

Output
Crystal system: cubic
Theoretical density in g/cm3: 8.638
Electronic total energy in Ry per atom: -0.56158

abc: 6.7019 6.7019 6.7019
angles: 90.00 90.00 90.00
Closest atoms and distances in Å follow each position.
Space group F-43m (No. 216)
Symmetry-distinct sites (fractional):
Hf 0.0000 0.0000 0.0000 x4  4 Sb 2.90
Zr 0.0000 0.0000 0.5000 x4  4 Sb 2.90
Sb 0.2500 0.2500 0.2500 x4  4 Zr 2.90, 4 Hf 2.90

---

# 7
Density functional theory data (PBE) for crystalline DyUFe2 at its relaxed geometry.

Output
Crystal system: orthorhombic
Theoretical density in g/cm3: 11.664
ΔE_f in eV/atom: -0.15

abc: 6.3558 4.8463 9.4694
angles: 90.00 90.00 90.00
Closest atoms and distances in Å follow each position.
Space group Pnma (No. 62)
Symmetry-distinct sites (fractional):
Dy 0.1466 0.2500 0.1455 x4  7 Fe 2.81-3.11
U 0.0171 0.2500 0.6316 x4  2 Fe 2.11-2.16
Fe 0.1160 0.2500 0.8495 x4  1 U 2.16
Fe 0.2270 0.2500 0.4588 x4  1 U 2.11

---

# 8
Density functional theory data (PBE) for crystalline LuCo2Re at its relaxed geometry.

Output
Crystal system: cubic
Theoretical density in g/cm3: 13.834
ΔE_f in eV/atom: 0.38

abc: 6.1269 6.1269 6.1269
angles: 90.00 90.00 90.00
Closest atoms and distances in Å follow each position.
Space group F-43m (No. 216)
Symmetry-distinct sites (fractional):
Lu 0.0000 0.0000 0.0000 x4  4 Co 2.65, 4 Re 2.65
Co 0.0000 0.0000 0.5000 x4  4 Re 2.65, 4 Co 2.65
Co 0.2500 0.2500 0.2500 x4  4 Co 2.65, 4 Lu 2.65
Re 0.2500 0.2500 0.7500 x4  4 Co 2.65, 4 Lu 2.65

---

# 9
Density functional theory data (PBE) for crystalline NaCuB4 at its relaxed geometry.

Output
Crystal system: hexagonal
Theoretical density in g/cm3: 3.697
Energy above the most stable polymorph in this dataset in meV per atom: 0.0

abc: 3.0234 3.0234 7.3628
angles: 90.00 90.00 120.00
Closest atoms and distances in Å follow each position.
Space group P6/mmm (No. 191)
Symmetry-distinct sites (fractional):
Na 0.0000 0.0000 0.0000 x1  12 B 2.74, 6 Na 3.02
Cu 0.0000 0.0000 0.5000 x1  12 B 2.35
B 0.3333 0.6667 0.2869 x4  3 B 1.75

---

# 10
Density functional theory data (PBE) for crystalline Nb2GeTe4 at its relaxed geometry.

Output
Crystal system: trigonal
Theoretical density in g/cm3: 7.083
Electronic total energy in Ry per atom: -0.40693

abc: 3.5898 3.5898 48.4532
angles: 90.00 90.00 120.00
Closest atoms and distances in Å follow each position.
Space group R-3m (No. 166, hexagonal axes)
Symmetry-distinct sites (fractional):
Nb 0.0000 0.0000 0.0751 x6  6 Te 2.79-2.85
Ge 0.0000 0.0000 0.5000 x3  6 Te 3.24, 6 Ge 3.59
Te 0.0000 0.0000 0.2180 x6  3 Nb 2.85
Te 0.0000 0.0000 0.3698 x6  3 Nb 2.79

---

# 11
Density functional theory data (PBE) for crystalline Tm3Hf3Sb2Ir at its relaxed geometry.

Output
Crystal system: hexagonal
Theoretical density in g/cm3: 11.765
Energy above the most stable polymorph in this dataset in meV per atom: 188.5

abc: 8.0214 8.0214 3.7436
angles: 90.00 90.00 120.00
Closest atoms and distances in Å follow each position.
Space group P-62m (No. 189)
Symmetry-distinct sites (fractional):
Tm 0.0000 0.7486 0.0000 x3  2 Ir 2.75, 2 Sb 3.06
Hf 0.0000 0.3979 0.5000 x3  4 Sb 3.09, 1 Ir 3.19, 6 Tm 3.36-3.38
Sb 0.3333 0.6667 0.0000 x2  3 Tm 3.06, 6 Hf 3.09
Ir 0.0000 0.0000 0.5000 x1  6 Tm 2.75

---

# 12
Density functional theory data (PBE) for crystalline RbReAgSe2S at its relaxed geometry.

Output
Crystal system: orthorhombic
Theoretical density in g/cm3: 6.361
Electronic total energy in Ry per atom: -0.34721

abc: 3.8745 15.4067 9.9630
angles: 90.00 90.00 90.00
Closest atoms and distances in Å follow each position.
Space group Cmcm (No. 63)
Symmetry-distinct sites (fractional):
Rb 0.0000 0.2481 0.2500 x4  6 Se 3.42-3.66, 2 S 3.55, 2 Ag 3.69
Re 0.0000 0.0000 0.0000 x4  4 Se 2.62, 2 S 2.65
Ag 0.0000 0.4556 0.7500 x4  2 S 2.51, 2 Se 2.54
Se 0.0000 0.3866 0.5188 x8  1 Ag 2.54, 2 Re 2.62
S 0.0000 0.0589 0.7500 x4  2 Ag 2.51, 2 Re 2.65